Entry 1:
## Zr3TlIr (PBEsol)

Data for a relaxed Zr3TlIr crystal.

abc: 5.121 5.121 5.121
angles: 90.00 90.00 90.00
Space group Pm-3m (No. 221)
Inequivalent atoms, fractional coordinates:
Zr (0.000, 0.000, 0.500) x3
Tl (0.000, 0.000, 0.000) x1
Ir (0.500, 0.500, 0.500) x1

The calculation puts the size of the total moment at 0.0 Bohr magnetons per cell. The total energy comes out at -31.49 eV for the cell shown. Its energy of formation is 1646 meV/atom.

=====

Entry 2:
## SiTeAu2 (PBEsol)

Data for a relaxed SiTeAu2 crystal.

abc: 3.174 3.174 7.742
angles: 90.00 90.00 90.00
Space group P4mm (No. 99)
Inequivalent atoms, fractional coordinates:
Si (0.000, 0.000, 0.000) x1
Te (0.500, 0.500, 0.677) x1
Au (0.000, 0.000, 0.404) x1
Au (0.500, 0.500, 0.167) x1

The value obtained for the energy relative to the elements, uncorrected is 0.229 eV/atom. The calculation puts the size of the total moment at 0.0 Bohr magnetons per cell. The total energy comes out at -16.20 eV for the cell shown.

=====

Entry 3:
## MgOsO2F (PBEsol)

Data for a relaxed MgOsO2F crystal.

abc: 3.651 3.651 6.178
angles: 90.00 90.00 90.00
Space group P4/mmm (No. 123)
Inequivalent atoms, fractional coordinates:
Mg (0.000, 0.000, 0.000) x1
Os (0.500, 0.500, 0.500) x1
O (0.000, 0.500, 0.500) x2
F (0.500, 0.500, 0.000) x1

The value obtained for the energy relative to the elements, uncorrected is -1.019 eV/atom. The calculation puts the size of the total moment at 0.0 Bohr magnetons per cell. The total energy comes out at -31.46 eV for the cell shown.

=====

Entry 4:
## SiSb2Br (PBEsol)

Data for a relaxed SiSb2Br crystal.

abc: 3.870 3.913 7.452
angles: 95.24 104.79 90.04
Space group P1 (No. 1)
Inequivalent atoms, fractional coordinates:
Si (0.000, 0.000, 0.000) x1
Sb (0.534, 0.541, 0.070) x1
Sb (0.861, 0.381, 0.719) x1
Br (0.248, 0.965, 0.486) x1

The value obtained for the energy relative to the elements, uncorrected is 0.086 eV/atom. The calculation puts the size of the total moment at 0.0 Bohr magnetons per cell. The total energy comes out at -16.39 eV for the cell shown.

=====

Entry 5:
## CoIr2Os (PBEsol)

Data for a relaxed CoIr2Os crystal.

abc: 3.736 3.736 7.514
angles: 90.00 90.00 90.00
Space group I4/mmm (No. 139)
Inequivalent atoms, fractional coordinates:
Co (0.000, 0.000, 0.000) x2
Ir (0.000, 0.500, 0.250) x4
Os (0.000, 0.000, 0.500) x2

The calculation puts the size of the total moment at 1.6 Bohr magnetons per cell. The total energy comes out at -78.90 eV for the cell shown. Its energy of formation is 37 meV/atom.

=====

Entry 6:
## CuAu (PBEsol)

Data for a relaxed CuAu crystal.

abc: 3.744 3.825 7.978
angles: 90.00 90.00 90.00
Space group Imma (No. 74)
Inequivalent atoms, fractional coordinates:
Cu (0.000, 0.250, 0.127) x4
Au (0.000, 0.250, 0.624) x4

The calculation puts the size of the total moment at 0.0 Bohr magnetons per cell. The total energy comes out at -33.30 eV for the cell shown. Its energy of formation is -33 meV/atom.

=====

Entry 7:
## KY2Cr (PBEsol)

Data for a relaxed KY2Cr crystal.

abc: 3.806 3.806 9.291
angles: 90.00 90.00 90.00
Space group P4mm (No. 99)
Inequivalent atoms, fractional coordinates:
K (0.000, 0.000, 0.000) x1
Y (0.000, 0.000, 0.583) x1
Y (0.500, 0.500, 0.357) x1
Cr (0.500, 0.500, 0.713) x1

The calculation puts the size of the total moment at 3.6 Bohr magnetons per cell. The total energy comes out at -22.45 eV for the cell shown. Its energy of formation is 642 meV/atom.

=====

Entry 8:
## Ba2YRuO6 (PBEsol)

Data for a relaxed Ba2YRuO6 crystal.

abc: 8.312 8.312 8.312
angles: 90.00 90.00 90.00
Space group Fm-3m (No. 225)
Inequivalent atoms, fractional coordinates:
Ba (0.250, 0.250, 0.250) x8
Y (0.000, 0.000, 0.000) x4
Ru (0.000, 0.000, 0.500) x4
O (0.000, 0.000, 0.265) x24

The value obtained for the energy relative to the elements, uncorrected is -2.495 eV/atom. The calculation puts the size of the total moment at 11.7 Bohr magnetons per cell. The total energy comes out at -310.94 eV for the cell shown.

=====

Entry 9:
## Ba2LiPt (PBEsol)

Data for a relaxed Ba2LiPt crystal.

abc: 4.524 4.642 12.088
angles: 90.00 90.00 90.00
Space group Amm2 (No. 38)
Inequivalent atoms, fractional coordinates:
Ba (0.000, 0.000, 0.000) x2
Ba (0.500, 0.000, 0.281) x2
Li (0.000, 0.000, 0.682) x2
Pt (0.500, 0.000, 0.575) x2

The calculation puts the size of the total moment at 0.0 Bohr magnetons per cell. The total energy comes out at -29.30 eV for the cell shown. Its energy of formation is -355 meV/atom.

=====

Entry 10:
## Tl2ReCl (PBEsol)

Data for a relaxed Tl2ReCl crystal.

abc: 3.175 4.842 6.052
angles: 90.00 90.00 90.00
Space group Pmmm (No. 47)
Inequivalent atoms, fractional coordinates:
Tl (0.000, 0.000, 0.000) x1
Tl (0.500, 0.000, 0.500) x1
Re (0.000, 0.500, 0.500) x1
Cl (0.500, 0.500, 0.000) x1

The value obtained for the energy relative to the elements, uncorrected is 0.929 eV/atom. The calculation puts the size of the total moment at 2.9 Bohr magnetons per cell. The total energy comes out at -16.88 eV for the cell shown.

=====

Entry 11:
## CaCrFeRh2 (PBEsol)

Data for a relaxed CaCrFeRh2 crystal.

abc: 4.576 4.576 4.206
angles: 90.00 90.00 90.00
Space group P4/mmm (No. 123)
Inequivalent atoms, fractional coordinates:
Ca (0.000, 0.000, 0.000) x1
Cr (0.500, 0.500, 0.000) x1
Fe (0.500, 0.500, 0.500) x1
Rh (0.000, 0.500, 0.500) x2

The calculation puts the size of the total moment at 0.9 Bohr magnetons per cell. The total energy comes out at -35.06 eV for the cell shown. Its energy of formation is 512 meV/atom.

=====

Entry 12:
## TlAg2W (PBEsol)

Data for a relaxed TlAg2W crystal.

abc: 4.376 4.376 7.473
angles: 90.00 90.00 90.00
Space group I-4m2 (No. 119)
Inequivalent atoms, fractional coordinates:
Tl (0.000, 0.000, 0.000) x2
Ag (0.000, 0.000, 0.500) x2
Ag (0.000, 0.500, 0.750) x2
W (0.000, 0.500, 0.250) x2

The calculation puts the size of the total moment at 3.5 Bohr magnetons per cell. The total energy comes out at -38.88 eV for the cell shown. Its energy of formation is 905 meV/atom.

=====

Number 1: N(E_F) 1.7671 states/eV/atom. Number 2: N(E_F) 0.4788 states/eV/atom. Number 3: N(E_F) 0.3161 states/eV/atom. Number 4: N(E_F) 0.2462 states/eV/atom. Number 5: N(E_F) 1.1966 states/eV/atom. Number 6: N(E_F) 0.3082 states/eV/atom. Number 7: N(E_F) 0.8892 states/eV/atom. Number 8: N(E_F) 0.2207 states/eV/atom. Number 9: N(E_F) 0.6796 states/eV/atom. Number 10: N(E_F) 0.4410 states/eV/atom. Number 11: N(E_F) 0.9382 states/eV/atom. Number 12: N(E_F) 0.7547 states/eV/atom.